Entry 1:
The following is a DFT calculation (PBE) of crystalline YCoNi at its relaxed geometry.

a = 6.5704 Å, b = 6.5704 Å, c = 3.8686 Å
α = 90.00°, β = 90.00°, γ = 120.00°
Closest atoms and distances in Å follow each position.
Fractional coordinates of all 9 atoms:
Co (0.6667, 0.3333, 0.0000)  3 Ni 2.61, 6 Y 2.77
Co (0.3333, 0.6667, 0.0000)  3 Ni 2.61, 6 Y 2.77
Co (0.0000, 0.0000, 0.5000)  6 Ni 2.45, 3 Y 2.70
Ni (0.2279, 0.0000, 0.0000)  4 Co 2.45-2.61, 2 Ni 2.59
Ni (0.0000, 0.2279, 0.0000)  4 Co 2.45-2.61, 2 Ni 2.59
Ni (0.7721, 0.7721, 0.0000)  4 Co 2.45-2.61, 2 Ni 2.59
Y (0.5895, 0.0000, 0.5000)  5 Co 2.70-2.77
Y (0.4105, 0.4105, 0.5000)  5 Co 2.70-2.77
Y (0.0000, 0.5895, 0.5000)  5 Co 2.70-2.77

Computed properties:
- ΔE to the lowest computed polymorph: 92.7 meV per atom
- Spin magnetization: 2.79 μB per cell
- Space-group type: P-62m (189)
- Energy of formation from the pure elements: -0.4 eV/f.u.
- Calculated total energy: -6.529 eV per atom

Entry 2:
The following is a DFT calculation (PBE) of crystalline YCoNi2 at its relaxed geometry.

a = 4.3583 Å, b = 4.3583 Å, c = 4.3583 Å
α = 60.00°, β = 60.00°, γ = 60.00°
Closest atoms and distances in Å follow each position.
Fractional coordinates of all 4 atoms:
Co (0.2500, 0.2500, 0.2500)  4 Y 2.67, 4 Ni 2.67
Ni (0.0000, 0.0000, 0.0000)  4 Ni 2.67, 4 Co 2.67
Ni (0.7500, 0.7500, 0.7500)  4 Y 2.67, 4 Ni 2.67
Y (0.5000, 0.5000, 0.5000)  4 Ni 2.67, 4 Co 2.67

Computed properties:
- ΔE to the lowest computed polymorph: 344.6 meV per atom
- Spin magnetization: 1.30 μB per cell
- Space-group type: F-43m (216)
- Energy of formation from the pure elements: 0.2 eV/f.u.
- Calculated total energy: -6.120 eV per atom

Entry 3:
The following is a DFT calculation (PBE) of crystalline YCo3Ni2 at its relaxed geometry.

a = 4.8526 Å, b = 4.8526 Å, c = 4.0048 Å
α = 90.00°, β = 90.00°, γ = 120.00°
Closest atoms and distances in Å follow each position.
Fractional coordinates of all 6 atoms:
Co (0.5000, 0.0000, 0.5000)  4 Co 2.43, 4 Ni 2.44
Co (0.0000, 0.5000, 0.5000)  4 Co 2.43, 4 Ni 2.44
Co (0.5000, 0.5000, 0.5000)  4 Co 2.43, 4 Ni 2.44
Ni (0.6667, 0.3333, 0.0000)  6 Co 2.44
Ni (0.3333, 0.6667, 0.0000)  6 Co 2.44
Y (0.0000, 0.0000, 0.0000)  6 Ni 2.80

Computed properties:
- Spin magnetization: 4.77 μB per cell
- Space-group type: P6/mmm (191)
- Energy of formation from the pure elements: -1.1 eV/f.u.
- Calculated total energy: -6.675 eV per atom